[1]
VASP calculation (PBE) on crystalline ZrTc2Rh4 at its relaxed geometry.

- Space group: No. 139
- DFT total energy: -7.3880 eV per atom
- Formation energy: 6.97 eV per formula unit

a b c (Å): 6.9678 6.9678 6.9678
angles (deg): 139.09 139.09 59.24
Atoms (fractional coordinates):
Zr: 0.0000 0.0000 0.0000
Tc: 0.4043 0.4043 0.0000
Tc: 0.5957 0.5957 0.0000
Rh: 0.0000 0.5000 0.5000
Rh: 0.2097 0.2097 0.0000
Rh: 0.5000 0.0000 0.5000
Rh: 0.7903 0.7903 0.0000

---

[2]
VASP calculation (PBE) on crystalline NdEr3Th at its relaxed geometry.

- Space group: No. 2
- Excess energy over the best structure of this formula in the dataset: 0 meV per atom
- DFT total energy: -5.1385 eV per atom
- Formation energy: 0.18 eV per formula unit

a b c (Å): 6.2705 6.7534 9.1953
angles (deg): 71.55 89.89 62.39
Atoms (fractional coordinates):
Nd: 0.1344 0.4045 0.3470
Nd: 0.8656 0.5955 0.6530
Er: 0.0587 0.2006 0.0520
Er: 0.2710 0.7996 0.4534
Er: 0.3378 0.9954 0.7572
Er: 0.6622 0.0046 0.2428
Er: 0.7290 0.2004 0.5466
Er: 0.9413 0.7994 0.9480
Th: 0.4720 0.4014 0.8487
Th: 0.5280 0.5986 0.1513

---

[3]
VASP calculation (PBE) on crystalline CaPm2PuSe4 at its relaxed geometry.

- Space group: No. 10
- DFT total energy: -6.7677 eV per atom
- Uncorrected formation energy: -1.796 eV/atom

a b c (Å): 7.2532 4.1709 7.2670
angles (deg): 90.00 109.35 90.00
Atoms (fractional coordinates):
Ca: 0.0000 0.0000 0.0000
Pm: 0.0000 0.5000 0.5000
Pm: 0.5000 0.0000 0.5000
Pu: 0.5000 0.5000 0.0000
Se: 0.2475 0.5000 0.2460
Se: 0.2513 0.0000 0.7548
Se: 0.7487 0.0000 0.2452
Se: 0.7525 0.5000 0.7540

---

[4]
VASP calculation (PBE) on crystalline Sc2AgPb at its relaxed geometry.

- Space group: No. 12
- DFT total energy: -4.9635 eV per atom
- Formation energy: -0.63 eV per formula unit

a b c (Å): 4.8890 4.8890 6.1758
angles (deg): 101.78 101.78 41.49
Atoms (fractional coordinates):
Sc: 0.2447 0.2447 0.2278
Sc: 0.7553 0.7553 0.7722
Ag: 0.5000 0.5000 0.0000
Pb: 0.0000 0.0000 0.5000

---

[5]
VASP calculation (PBE) on crystalline Pm8S6N at its relaxed geometry.

- Space group: No. 147
- DFT total energy: -6.0141 eV per atom
- Uncorrected formation energy: -1.274 eV/atom

a b c (Å): 9.9968 9.9968 4.1545
angles (deg): 90.00 90.00 120.00
Atoms (fractional coordinates):
Pm: 0.0285 0.7226 0.2656
Pm: 0.2774 0.3058 0.2656
Pm: 0.3058 0.0285 0.7344
Pm: 0.3333 0.6667 0.7453
Pm: 0.6667 0.3333 0.2547
Pm: 0.6942 0.9715 0.2656
Pm: 0.7226 0.6942 0.7344
Pm: 0.9715 0.2774 0.7344
S: 0.1276 0.4780 0.2430
S: 0.3503 0.8724 0.2430
S: 0.4780 0.3503 0.7570
S: 0.5220 0.6497 0.2430
S: 0.6497 0.1276 0.7570
S: 0.8724 0.5220 0.7570
N: 0.0000 0.0000 0.5000

---

[6]
VASP calculation (PBE) on crystalline Zr2TaCu2 at its relaxed geometry.

- Space group: No. 127
- DFT total energy: -7.3911 eV per atom
- Formation energy: 0.19 eV per formula unit

a b c (Å): 7.5032 7.5032 3.1545
angles (deg): 90.00 90.00 90.00
Atoms (fractional coordinates):
Zr: 0.1789 0.3211 0.0000
Zr: 0.3211 0.8211 0.0000
Zr: 0.6789 0.1789 0.0000
Zr: 0.8211 0.6789 0.0000
Ta: 0.0000 0.0000 0.5000
Ta: 0.5000 0.5000 0.5000
Cu: 0.1182 0.6182 0.5000
Cu: 0.3818 0.1182 0.5000
Cu: 0.6182 0.8818 0.5000
Cu: 0.8818 0.3818 0.5000

---

[7]
VASP calculation (PBE) on crystalline MgH2N at its relaxed geometry.

- Space group: No. 11
- Excess energy over the best structure of this formula in the dataset: 0 meV per atom
- DFT total energy: -4.5117 eV per atom

a b c (Å): 3.6680 3.2993 8.0699
angles (deg): 90.00 90.77 90.00
Atoms (fractional coordinates):
Mg: 0.2448 0.2500 0.3504
Mg: 0.7552 0.7500 0.6496
H: 0.0268 0.7500 0.1094
H: 0.4646 0.7500 0.1142
H: 0.5354 0.2500 0.8858
H: 0.9732 0.2500 0.8906
N: 0.2438 0.7500 0.1909
N: 0.7562 0.2500 0.8091

---

[8]
VASP calculation (PBE) on crystalline Nd6C3Se2Cl at its relaxed geometry.

- Space group: No. 12
- DFT total energy: -6.4520 eV per atom
- Uncorrected formation energy: -1.028 eV/atom

a b c (Å): 9.1265 9.1265 8.2539
angles (deg): 107.67 107.67 24.64
Atoms (fractional coordinates):
Nd: 0.0121 0.0121 0.2194
Nd: 0.3218 0.3218 0.4427
Nd: 0.3414 0.3414 0.8950
Nd: 0.6586 0.6586 0.1050
Nd: 0.6782 0.6782 0.5573
Nd: 0.9879 0.9879 0.7806
C: 0.1672 0.1672 0.3330
C: 0.5000 0.5000 0.0000
C: 0.8328 0.8328 0.6670
Se: 0.1632 0.1632 0.8262
Se: 0.8368 0.8368 0.1738
Cl: 0.5000 0.5000 0.5000

---

[9]
VASP calculation (PBE) on crystalline LaGa2ReP at its relaxed geometry.

- Space group: No. 123
- DFT total energy: -5.9979 eV per atom
- Formation energy: -1.15 eV per formula unit

a b c (Å): 4.8830 4.8830 4.5820
angles (deg): 90.00 90.00 90.00
Atoms (fractional coordinates):
La: 0.0000 0.0000 0.0000
Ga: 0.0000 0.5000 0.5000
Ga: 0.5000 0.0000 0.5000
Re: 0.5000 0.5000 0.5000
P: 0.5000 0.5000 0.0000

---

[10]
VASP calculation (PBE) on crystalline CaBeOs at its relaxed geometry.

- Space group: No. 107
- Excess energy over the best structure of this formula in the dataset: 32 meV per atom
- DFT total energy: -5.5746 eV per atom
- Formation energy: 0.23 eV per formula unit

a b c (Å): 5.4915 5.4915 5.4915
angles (deg): 146.41 146.41 48.24
Atoms (fractional coordinates):
Ca: 0.0000 0.0000 0.0000
Be: 0.2653 0.2653 0.0000
Os: 0.7145 0.7145 0.0000

---

[11]
VASP calculation (PBE) on crystalline La5Ir at its relaxed geometry.

- Space group: No. 191
- Excess energy over the best structure of this formula in the dataset: 947 meV per atom
- DFT total energy: -4.8716 eV per atom
- Formation energy: 4.27 eV per formula unit

a b c (Å): 6.0390 6.0390 6.0474
angles (deg): 90.00 90.00 120.00
Atoms (fractional coordinates):
La: 0.0000 0.5000 0.0000
La: 0.3333 0.6667 0.5000
La: 0.5000 0.0000 0.0000
La: 0.5000 0.5000 0.0000
La: 0.6667 0.3333 0.5000
Ir: 0.0000 0.0000 0.5000

---

[12]
VASP calculation (PBE) on crystalline NaNiIN2 at its relaxed geometry.

- Space group: No. 123
- Excess energy over the best structure of this formula in the dataset: 0 meV per atom
- DFT total energy: -4.1873 eV per atom
- Uncorrected formation energy: 0.873 eV/atom

a b c (Å): 3.9228 3.9228 5.9022
angles (deg): 90.00 90.00 90.00
Atoms (fractional coordinates):
Na: 0.0000 0.0000 0.0000
Ni: 0.5000 0.5000 0.5000
I: 0.5000 0.5000 0.0000
N: 0.0000 0.5000 0.5000
N: 0.5000 0.0000 0.5000

---

[13]
VASP calculation (PBE) on crystalline La7Pr3Er2 at its relaxed geometry.

- Space group: No. 10
- Excess energy over the best structure of this formula in the dataset: 17 meV per atom
- DFT total energy: -4.7455 eV per atom
- Formation energy: 1.01 eV per formula unit

a b c (Å): 6.0292 3.6438 19.5984
angles (deg): 90.00 93.51 90.00
Atoms (fractional coordinates):
La: 0.0000 0.0000 0.0000
La: 0.1827 0.5000 0.1837
La: 0.2555 0.5000 0.5332
La: 0.3198 0.0000 0.8526
La: 0.6802 0.0000 0.1474
La: 0.7445 0.5000 0.4668
La: 0.8173 0.5000 0.8163
Pr: 0.2228 0.0000 0.3637
Pr: 0.5000 0.5000 0.0000
Pr: 0.7772 0.0000 0.6363
Er: 0.2877 0.5000 0.7027
Er: 0.7123 0.5000 0.2973

---

[14]
VASP calculation (PBE) on crystalline K2ThIO6 at its relaxed geometry.

- Space group: No. 99
- DFT total energy: -5.8942 eV per atom
- Uncorrected formation energy: -1.803 eV/atom

a b c (Å): 6.0827 6.0827 4.5260
angles (deg): 90.00 90.00 90.00
Atoms (fractional coordinates):
K: 0.0000 0.5000 0.0000
K: 0.5000 0.0000 0.0000
Th: 0.0000 0.0000 0.5100
I: 0.5000 0.5000 0.4787
O: 0.0000 0.0000 0.0084
O: 0.2696 0.2696 0.5099
O: 0.2696 0.7304 0.5099
O: 0.5000 0.5000 0.0714
O: 0.7304 0.2696 0.5099
O: 0.7304 0.7304 0.5099

---

[15]
VASP calculation (PBE) on crystalline YMg2Au at its relaxed geometry.

- Space group: No. 12
- DFT total energy: -3.4460 eV per atom
- Formation energy: -0.85 eV per formula unit

a b c (Å): 6.2951 6.2951 3.2537
angles (deg): 103.61 103.61 122.94
Atoms (fractional coordinates):
Y: 0.0000 0.0000 0.0000
Mg: 0.0000 0.5000 0.5000
Mg: 0.5000 0.0000 0.5000
Au: 0.5000 0.5000 0.0000

---

[16]
VASP calculation (PBE) on crystalline Nd3Sm12Y5 at its relaxed geometry.

- Space group: No. 230
- DFT total energy: -4.1324 eV per atom
- Formation energy: 20.61 eV per formula unit

a b c (Å): 16.4625 16.4625 16.4625
angles (deg): 109.47 109.47 109.47
Atoms (fractional coordinates):
Nd: 0.1250 0.2500 0.3750
Nd: 0.1250 0.3750 0.7500
Nd: 0.2500 0.3750 0.1250
Nd: 0.2500 0.8750 0.6250
Nd: 0.3750 0.1250 0.2500
Nd: 0.3750 0.7500 0.1250
Nd: 0.6250 0.2500 0.8750
Nd: 0.6250 0.8750 0.7500
Nd: 0.7500 0.1250 0.3750
Nd: 0.7500 0.6250 0.8750
Nd: 0.8750 0.6250 0.2500
Nd: 0.8750 0.7500 0.6250
Sm: 0.0632 0.6374 0.4096
Sm: 0.0632 0.9258 0.6537
Sm: 0.0742 0.2278 0.1374
Sm: 0.0742 0.3463 0.9368
Sm: 0.0904 0.7278 0.6537
Sm: 0.0904 0.8626 0.4368
Sm: 0.1374 0.0742 0.2278
Sm: 0.1374 0.5632 0.9096
Sm: 0.1537 0.2278 0.5904
Sm: 0.1537 0.4258 0.5632
Sm: 0.2278 0.1374 0.0742
Sm: 0.2278 0.5904 0.1537
Sm: 0.2722 0.3463 0.9096
Sm: 0.2722 0.4258 0.3626
Sm: 0.3463 0.9096 0.2722
Sm: 0.3463 0.9368 0.0742
Sm: 0.3626 0.2722 0.4258
Sm: 0.3626 0.5904 0.9368
Sm: 0.4096 0.0632 0.6374
Sm: 0.4096 0.8463 0.7722
Sm: 0.4258 0.3626 0.2722
Sm: 0.4258 0.5632 0.1537
Sm: 0.4368 0.0904 0.8626
Sm: 0.4368 0.8463 0.5742
Sm: 0.5632 0.1537 0.4258
Sm: 0.5632 0.9096 0.1374
Sm: 0.5742 0.4368 0.8463
Sm: 0.5742 0.6374 0.7278
Sm: 0.5904 0.1537 0.2278
Sm: 0.5904 0.9368 0.3626
Sm: 0.6374 0.4096 0.0632
Sm: 0.6374 0.7278 0.5742
Sm: 0.6537 0.0632 0.9258
Sm: 0.6537 0.0904 0.7278
Sm: 0.7278 0.5742 0.6374
Sm: 0.7278 0.6537 0.0904
Sm: 0.7722 0.4096 0.8463
Sm: 0.7722 0.8626 0.9258
Sm: 0.8463 0.5742 0.4368
Sm: 0.8463 0.7722 0.4096
Sm: 0.8626 0.4368 0.0904
Sm: 0.8626 0.9258 0.7722
Sm: 0.9096 0.1374 0.5632
Sm: 0.9096 0.2722 0.3463
Sm: 0.9258 0.6537 0.0632
Sm: 0.9258 0.7722 0.8626
Sm: 0.9368 0.0742 0.3463
Sm: 0.9368 0.3626 0.5904
Y: 0.0000 0.0000 0.0000
Y: 0.0000 0.0000 0.5000
Y: 0.0000 0.5000 0.0000
Y: 0.0000 0.5000 0.5000
Y: 0.1250 0.7500 0.8750
Y: 0.1250 0.8750 0.2500
Y: 0.2500 0.1250 0.8750
Y: 0.2500 0.6250 0.3750
Y: 0.3750 0.2500 0.6250
Y: 0.3750 0.6250 0.7500
Y: 0.5000 0.0000 0.0000
Y: 0.5000 0.0000 0.5000
Y: 0.5000 0.5000 0.0000
Y: 0.5000 0.5000 0.5000
Y: 0.6250 0.3750 0.2500
Y: 0.6250 0.7500 0.3750
Y: 0.7500 0.3750 0.6250
Y: 0.7500 0.8750 0.1250
Y: 0.8750 0.1250 0.7500
Y: 0.8750 0.2500 0.1250

---

[17]
VASP calculation (PBE) on crystalline LaTl2Sn at its relaxed geometry.

- Space group: No. 225
- Excess energy over the best structure of this formula in the dataset: 196 meV per atom
- DFT total energy: -3.6583 eV per atom
- Formation energy: -0.97 eV per formula unit

a b c (Å): 5.5303 5.5303 5.5303
angles (deg): 60.00 60.00 60.00
Atoms (fractional coordinates):
La: 0.0000 0.0000 0.0000
Tl: 0.2500 0.2500 0.2500
Tl: 0.7500 0.7500 0.7500
Sn: 0.5000 0.5000 0.5000

---

[18]
VASP calculation (PBE) on crystalline Ag2Pd9Pt at its relaxed geometry.

- Space group: No. 123
- DFT total energy: -4.8816 eV per atom
- Formation energy: -0.10 eV per formula unit

a b c (Å): 3.9726 3.9726 11.9893
angles (deg): 90.00 90.00 90.00
Atoms (fractional coordinates):
Ag: 0.0000 0.0000 0.1679
Ag: 0.0000 0.0000 0.8321
Pd: 0.0000 0.5000 0.0000
Pd: 0.0000 0.5000 0.3365
Pd: 0.0000 0.5000 0.6635
Pd: 0.5000 0.0000 0.0000
Pd: 0.5000 0.0000 0.3365
Pd: 0.5000 0.0000 0.6635
Pd: 0.5000 0.5000 0.1676
Pd: 0.5000 0.5000 0.5000
Pd: 0.5000 0.5000 0.8324
Pt: 0.0000 0.0000 0.5000

---

[19]
VASP calculation (PBE) on crystalline TaCoCu2 at its relaxed geometry.

- Space group: No. 160
- Excess energy over the best structure of this formula in the dataset: 189 meV per atom
- DFT total energy: -6.5732 eV per atom
- Formation energy: 0.86 eV per formula unit

a b c (Å): 8.5834 8.5834 8.5834
angles (deg): 18.32 18.32 18.32
Atoms (fractional coordinates):
Ta: 0.0000 0.0000 0.0000
Co: 0.2494 0.2494 0.2494
Cu: 0.5038 0.5038 0.5038
Cu: 0.7580 0.7580 0.7580

---

[20]
VASP calculation (PBE) on crystalline Ba2Na6Hg3 at its relaxed geometry.

- Space group: No. 189
- DFT total energy: -1.3509 eV per atom
- Formation energy: -2.20 eV per formula unit

a b c (Å): 9.9464 9.9464 4.5490
angles (deg): 90.00 90.00 120.00
Atoms (fractional coordinates):
Ba: 0.3333 0.6667 0.0000
Ba: 0.6667 0.3333 0.0000
Na: 0.0000 0.2019 0.0000
Na: 0.0000 0.7133 0.5000
Na: 0.2019 0.0000 0.0000
Na: 0.2867 0.2867 0.5000
Na: 0.7133 0.0000 0.5000
Na: 0.7981 0.7981 0.0000
Hg: 0.0000 0.4080 0.5000
Hg: 0.4080 0.0000 0.5000
Hg: 0.5920 0.5920 0.5000